An optimized crystal structure of NaRuPt2O6. Source: Alexandria via LeMat-Bulk, functional PBE.

Unit cell a=5.688 b=5.688 c=5.688 alpha=55.98 beta=55.98 gamma=55.98
Fractional positions:
Na (0.000, 0.000, 0.000)
Ru (0.518, 0.518, 0.518)
Pt (0.206, 0.206, 0.206)
Pt (0.717, 0.717, 0.717)
O (0.123, 0.800, 0.436)
O (0.335, 0.577, 0.909)
O (0.436, 0.123, 0.800)
O (0.577, 0.909, 0.335)
O (0.800, 0.436, 0.123)
O (0.909, 0.335, 0.577)

Properties
VASP energy, eV per atom: -5.93
Formation energy (no corrections), eV/atom: -0.684